(1)
{
  "formula": "TaAsCl2",
  "functional": "PBEsol",
  "state": "optimized geometry",
  "lattice": [[-0.8339, 1.9031, 2.7255], [-4.2879, -1.7698, -0.3580], [3.7114, -3.3957, 1.4928]],
  "species": ["Cl", "Cl", "Ta", "As"],
  "frac_coords": [[0.0000, 0.0000, 0.5000], [0.5000, 0.5000, 0.5000], [0.5000, 0.0000, 0.0000], [0.0000, 0.5000, 0.0000]],
  "de_polymorph_mev_per_atom": 619.7,
  "sg": "C2/m",
  "formation_energy_uncorrected_ev_per_fu": 0.72
}


(2)
{
  "formula": "Si2RhSe",
  "functional": "PBEsol",
  "state": "optimized geometry",
  "lattice": [[-1.9937, -3.0511, 1.6275], [3.4454, -1.9134, 0.6335], [-0.4468, 4.1056, 2.2545]],
  "species": ["Rh", "Si", "Si", "Se"],
  "frac_coords": [[0.5000, 0.5000, 0.0000], [0.7500, 0.2500, 0.5000], [0.2500, 0.7500, 0.5000], [0.0000, 0.0000, 0.0000]],
  "sg": "I4/mmm",
  "formation_energy_uncorrected_ev_per_fu": 0.78
}


(3)
{
  "formula": "LaS2N",
  "functional": "PBEsol",
  "state": "optimized geometry",
  "lattice": [[5.0862, 0.0000, 0.0000], [0.0000, 5.0862, 0.0000], [-2.5431, -2.5431, 6.2420]],
  "species": ["S", "S", "S", "S", "N", "N", "La", "La"],
  "frac_coords": [[0.5093, 0.8750, 0.2500], [0.1250, 0.2593, 0.7500], [0.6250, 0.4907, 0.7500], [0.7407, 0.3750, 0.2500], [0.5000, 0.5000, 0.0000], [0.7500, 0.2500, 0.5000], [0.2500, 0.7500, 0.5000], [0.0000, 0.0000, 0.0000]],
  "sg": "I-42d",
  "formation_energy_uncorrected_ev_per_fu": -0.11
}